Arrangement i

Computed, not measured: AsIr2I after structural relaxation at the PBE level of DFT.

The structure in CIF format:
```
data_AsIr2I
_chemical_formula_sum 'As1 Ir2 I1'
_space_group_name_H-M_alt 'P 1'
_space_group_IT_number 1
_cell_length_a 4.647
_cell_length_b 4.647
_cell_length_c 4.647
_cell_angle_alpha 60.00
_cell_angle_beta 60.00
_cell_angle_gamma 60.00
loop_
_space_group_symop_operation_xyz
'x,y,z'
loop_
_atom_site_label
_atom_site_type_symbol
_atom_site_fract_x
_atom_site_fract_y
_atom_site_fract_z
I1 I 0.500 0.500 0.500
As1 As 0.000 0.000 0.000
Ir1 Ir 0.250 0.250 0.250
Ir2 Ir 0.750 0.750 0.750
```

Computed properties:
* SG: No. 225
* theoretical density: 13720 kg/m3
* crystal system: cubic

---

Arrangement ii

Computed, not measured: AsIr2I after structural relaxation at the PBE level of DFT.

The structure in CIF format:
```
data_AsIr2I
_chemical_formula_sum 'As2 Ir4 I2'
_space_group_name_H-M_alt 'P 1'
_space_group_IT_number 1
_cell_length_a 4.849
_cell_length_b 4.849
_cell_length_c 8.155
_cell_angle_alpha 72.70
_cell_angle_beta 72.70
_cell_angle_gamma 90.00
loop_
_space_group_symop_operation_xyz
'x,y,z'
loop_
_atom_site_label
_atom_site_type_symbol
_atom_site_fract_x
_atom_site_fract_y
_atom_site_fract_z
I1 I 0.000 0.000 0.000
I2 I 0.750 0.250 0.500
As1 As 0.500 0.500 0.000
As2 As 0.250 0.750 0.500
Ir1 Ir 0.556 0.125 0.250
Ir2 Ir 0.194 0.625 0.250
Ir3 Ir 0.375 0.444 0.750
Ir4 Ir 0.875 0.806 0.750
```

Computed properties:
* SG: No. 122
* theoretical density: 11189 kg/m3
* crystal system: tetragonal

---

Most stable = arrangement ii

---

Arrangement i

Computed, not measured: AsIrI2N after structural relaxation at the PBE level of DFT.

The structure in CIF format:
```
data_AsIrI2N
_chemical_formula_sum 'As1 Ir1 I2 N1'
_space_group_name_H-M_alt 'P 1'
_space_group_IT_number 1
_cell_length_a 5.632
_cell_length_b 5.632
_cell_length_c 3.701
_cell_angle_alpha 90.00
_cell_angle_beta 90.00
_cell_angle_gamma 90.00
loop_
_space_group_symop_operation_xyz
'x,y,z'
loop_
_atom_site_label
_atom_site_type_symbol
_atom_site_fract_x
_atom_site_fract_y
_atom_site_fract_z
I1 I 0.000 0.500 0.000
I2 I 0.500 0.000 0.000
As1 As 0.500 0.500 0.500
Ir1 Ir 0.000 0.000 0.000
N1 N 0.000 0.000 0.500
```

Computed properties:
* SG: No. 123
* theoretical density: 7567 kg/m3
* crystal system: tetragonal

---

Arrangement ii

Computed, not measured: AsIrI2N after structural relaxation at the PBE level of DFT.

The structure in CIF format:
```
data_AsIrI2N
_chemical_formula_sum 'As1 Ir1 I2 N1'
_space_group_name_H-M_alt 'P 1'
_space_group_IT_number 1
_cell_length_a 5.647
_cell_length_b 3.542
_cell_length_c 5.647
_cell_angle_alpha 90.00
_cell_angle_beta 90.00
_cell_angle_gamma 90.00
loop_
_space_group_symop_operation_xyz
'x,y,z'
loop_
_atom_site_label
_atom_site_type_symbol
_atom_site_fract_x
_atom_site_fract_y
_atom_site_fract_z
I1 I 0.000 0.000 0.500
I2 I 0.500 0.000 0.000
As1 As 0.000 0.000 0.000
Ir1 Ir 0.500 0.500 0.500
N1 N 0.000 0.500 0.000
```

Computed properties:
* SG: No. 123
* theoretical density: 7865 kg/m3
* crystal system: tetragonal

---

Most stable = arrangement i